No. 1
# SrB2PbC (PBE, optimized geometry)
# V in Å³ per atom: 27.40
# Total energy in eV per cell: -15.7
# DOS(E_F) in states/eV per atom: 0.445
# Calculated formation energy in eV/atom: 2.46
# Theoretical density in g cm⁻³: 4.0
data_SrB2PbC
_cell_length_a 4.445
_cell_length_b 4.445
_cell_length_c 6.934
_cell_angle_alpha 90.00
_cell_angle_beta 90.00
_cell_angle_gamma 90.00
_space_group_name_H-M_alt 'P 4/m m m'
_space_group_IT_number 123
_space_group_name_Hall '-P 4 2'
loop_
_atom_site_label
_atom_site_type_symbol
_atom_site_fract_x
_atom_site_fract_y
_atom_site_fract_z
Sr1 Sr 0.000 0.000 0.000
B1 B 0.000 0.500 0.500
Pb1 Pb 0.000 0.000 0.500
C1 C 0.500 0.500 0.000

---

No. 2
# YB6PbC6 (PBE, optimized geometry)
# V in Å³ per atom: 8.29
# Total energy in eV per cell: -101.0
# DOS(E_F) in states/eV per atom: 0.146
# Calculated formation energy in eV/atom: 0.33
# Theoretical density in g cm⁻³: 6.2
data_YB6PbC6
_cell_length_a 4.878
_cell_length_b 4.878
_cell_length_c 4.878
_cell_angle_alpha 90.00
_cell_angle_beta 90.00
_cell_angle_gamma 90.00
_space_group_name_H-M_alt 'P m -3'
_space_group_IT_number 200
_space_group_name_Hall '-P 2 2 3'
loop_
_atom_site_label
_atom_site_type_symbol
_atom_site_fract_x
_atom_site_fract_y
_atom_site_fract_z
Y1 Y 0.000 0.000 0.000
B1 B 0.000 0.500 0.250
Pb1 Pb 0.500 0.500 0.500
C1 C 0.000 0.244 0.500

---

No. 3
# ZnBPbC (PBE, optimized geometry)
# V in Å³ per atom: 16.02
# Total energy in eV per cell: -35.5
# DOS(E_F) in states/eV per atom: 0.186
# Calculated formation energy in eV/atom: 0.78
# Theoretical density in g cm⁻³: 7.7
data_ZnBPbC
_cell_length_a 4.220
_cell_length_b 3.777
_cell_length_c 8.075
_cell_angle_alpha 90.00
_cell_angle_beta 95.20
_cell_angle_gamma 90.00
_space_group_name_H-M_alt 'P 1 21/m 1'
_space_group_IT_number 11
_space_group_name_Hall '-P 2yb'
loop_
_atom_site_label
_atom_site_type_symbol
_atom_site_fract_x
_atom_site_fract_y
_atom_site_fract_z
Zn1 Zn 0.205 0.250 0.023
B1 B 0.267 0.750 0.862
Pb1 Pb 0.204 0.750 0.362
C1 C 0.490 0.750 0.737

---

No. 4
# BPdC3 (PBE, optimized geometry)
# V in Å³ per atom: 8.69
# Total energy in eV per cell: -28.1
# Distance to the lowest polymorph of the same formula in meV per atom: 0
# DOS(E_F) in states/eV per atom: 0.367
# Calculated formation energy in eV/atom: 2.28
# Theoretical density in g cm⁻³: 5.9
data_BPdC3
_cell_length_a 3.516
_cell_length_b 3.516
_cell_length_c 3.516
_cell_angle_alpha 90.00
_cell_angle_beta 90.00
_cell_angle_gamma 90.00
_space_group_name_H-M_alt 'P m -3 m'
_space_group_IT_number 221
_space_group_name_Hall '-P 4 2 3'
loop_
_atom_site_label
_atom_site_type_symbol
_atom_site_fract_x
_atom_site_fract_y
_atom_site_fract_z
B1 B 0.000 0.000 0.000
Pd1 Pd 0.500 0.500 0.500
C1 C 0.000 0.000 0.500